Version one
Computed, not measured: an optimized crystal structure of Pm3Pr3Mg at the PBE-GGA level of DFT.

a b c (Å): 5.791 9.714 9.714
angles (deg): 120.01 90.00 90.00
Atoms (fractional coordinates):
Mg 0.250 0.667 0.333
Pr 0.750 0.898 0.526
Pr 0.750 0.628 0.102
Pm 0.250 0.945 0.760
Pr 0.250 0.525 0.628
Pm 0.250 0.240 0.185
Pr 0.250 0.102 0.474
Pr 0.250 0.372 0.898
Pr 0.750 0.475 0.372
Pm 0.750 0.055 0.240
Pm 0.750 0.760 0.815
Pm 0.750 0.185 0.945
Mg 0.750 0.333 0.667
Pm 0.250 0.815 0.055

## Properties
M_tot in μB per formula unit: 0.00
Fermi-level density of states in states/eV per cell: 20.4



Version two
Computed, not measured: an optimized crystal structure of Pm3Pr3Mg at the PBE-GGA level of DFT.

a b c (Å): 6.356 6.356 14.773
angles (deg): 77.58 77.58 60.00
Atoms (fractional coordinates):
Pr 0.731 0.395 0.812
Pr 0.937 0.269 0.188
Pm 0.465 0.798 0.605
Pm 0.535 0.202 0.395
Pm 0.798 0.131 0.605
Pm 0.131 0.465 0.605
Mg 0.333 0.333 0.000
Mg 0.667 0.667 0.000
Pr 0.269 0.605 0.188
Pr 0.605 0.937 0.188
Pr 0.063 0.731 0.812
Pr 0.395 0.063 0.812
Pm 0.869 0.535 0.395
Pm 0.202 0.869 0.395

## Properties
M_tot in μB per formula unit: 0.00
Fermi-level density of states in states/eV per cell: 20.1



Consider the structures shown above. The most stable of them is version one.